An optimized crystal structure of Na2ScCl5, computed with PBE.

extended XYZ file:
```
16
Lattice="-1.793 -4.814 -0.016 5.414 0.741 -4.918 8.800 -3.307 9.189" Properties=species:S:1:pos:R:3 pbc="T T T"
Na 6.148 -5.032 0.549
Na 2.830 -3.785 -2.916
Na 6.273 -2.348 3.706
Na 9.592 -3.596 7.171
Sc 8.640 -5.970 3.682
Sc 3.781 -1.410 0.573
Cl 10.915 -6.817 3.596
Cl 8.671 -5.974 1.253
Cl 6.159 -2.296 0.684
Cl 3.626 -1.344 -1.962
Cl 3.111 -3.900 0.319
Cl 9.311 -3.480 3.936
Cl 6.262 -5.084 3.571
Cl 8.795 -6.036 6.217
Cl 1.507 -0.563 0.659
Cl 3.750 -1.406 3.002
```

Output
calculated total energy: -67.406 eV/cell
magnetic moment: 0.00 μB per formula unit
N(E_F): 0.00 states/eV/cell
E_form (uncorrected): -1.94 eV/atom
V: 29.072 A^3/atom